1.
! PBE V3FeMo, relaxed; values from VASP
&SYSTEM
  ibrav = 0, nat = 20, ntyp = 3
/
ATOMIC_SPECIES
V 50.94 V.upf
Fe 55.84 Fe.upf
Mo 95.94 Mo.upf
ATOMIC_POSITIONS crystal
V 0.064 0.250 0.250
V 0.148 0.000 0.716
V 0.148 0.500 0.784
V 0.352 0.000 0.716
V 0.352 0.500 0.784
V 0.436 0.750 0.250
V 0.564 0.250 0.750
V 0.648 0.000 0.284
V 0.648 0.500 0.216
V 0.852 0.000 0.284
V 0.852 0.500 0.216
V 0.936 0.750 0.750
Fe 0.250 0.000 0.154
Fe 0.250 0.500 0.346
Fe 0.750 0.000 0.846
Fe 0.750 0.500 0.654
Mo 0.053 0.750 0.250
Mo 0.447 0.250 0.250
Mo 0.553 0.750 0.750
Mo 0.947 0.250 0.750
CELL_PARAMETERS angstrom
12.688 0.000 0.000
0.000 4.829 0.000
0.000 0.000 4.451
! - space-group type = Pnna, No. 52
! - formation energy from the elements (eV/f.u.) = 0.939
! - electronic total energy (eV per atom) = -9.142
! - magnetization (μB/cell) = 2.7
! - offset from the most stable computed form (eV/atom) = 0.053

---

2.
! PBE V2FeMo, relaxed; values from VASP
&SYSTEM
  ibrav = 0, nat = 4, ntyp = 3
/
ATOMIC_SPECIES
V 50.94 V.upf
Fe 55.84 Fe.upf
Mo 95.94 Mo.upf
ATOMIC_POSITIONS crystal
V 0.228 0.228 0.000
V 0.772 0.772 0.000
Fe 0.000 0.000 0.000
Mo 0.500 0.500 0.000
CELL_PARAMETERS angstrom
-1.315 2.247 4.714
1.315 -2.247 4.714
1.315 2.247 -4.714
! - space-group type = Immm, No. 71
! - formation energy from the elements (eV/f.u.) = 1.911
! - electronic total energy (eV per atom) = -8.905
! - magnetization (μB/cell) = 0.0

---

3.
! PBE V5FeMo4, relaxed; values from VASP
&SYSTEM
  ibrav = 0, nat = 10, ntyp = 3
/
ATOMIC_SPECIES
V 50.94 V.upf
Fe 55.84 Fe.upf
Mo 95.94 Mo.upf
ATOMIC_POSITIONS crystal
V 0.000 0.000 0.000
V 0.000 0.000 0.205
V 0.000 0.000 0.406
V 0.000 0.000 0.594
V 0.000 0.000 0.795
Fe 0.500 0.500 0.500
Mo 0.500 0.500 0.102
Mo 0.500 0.500 0.306
Mo 0.500 0.500 0.694
Mo 0.500 0.500 0.898
CELL_PARAMETERS angstrom
3.047 0.000 0.000
0.000 3.047 0.000
0.000 0.000 15.142
! - space-group type = P4/mmm, No. 123
! - formation energy from the elements (eV/f.u.) = -1.211
! - electronic total energy (eV per atom) = -9.859
! - magnetization (μB/cell) = 0.6

---

4.
! PBE VFeMo, relaxed; values from VASP
&SYSTEM
  ibrav = 0, nat = 3, ntyp = 3
/
ATOMIC_SPECIES
V 50.94 V.upf
Fe 55.84 Fe.upf
Mo 95.94 Mo.upf
ATOMIC_POSITIONS crystal
V 0.000 0.000 0.000
Fe 0.667 0.333 0.673
Mo 0.333 0.667 0.342
CELL_PARAMETERS angstrom
4.268 0.000 0.000
-2.134 3.696 0.000
0.000 0.000 2.567
! - space-group type = P3m1, No. 156
! - formation energy from the elements (eV/f.u.) = 0.171
! - electronic total energy (eV per atom) = -9.414
! - magnetization (μB/cell) = 1.6
! - offset from the most stable computed form (eV/atom) = 0.053

---

5.
! PBE VFeMo3, relaxed; values from VASP
&SYSTEM
  ibrav = 0, nat = 5, ntyp = 3
/
ATOMIC_SPECIES
V 50.94 V.upf
Fe 55.84 Fe.upf
Mo 95.94 Mo.upf
ATOMIC_POSITIONS crystal
V 0.000 0.000 0.000
Fe 0.500 0.500 0.500
Mo 0.000 0.500 0.500
Mo 0.500 0.000 0.500
Mo 0.500 0.500 0.000
CELL_PARAMETERS angstrom
4.437 0.000 0.000
0.000 4.437 0.000
0.000 0.000 4.437
! - space-group type = Pm-3m, No. 221
! - formation energy from the elements (eV/f.u.) = 5.906
! - electronic total energy (eV per atom) = -8.834
! - magnetization (μB/cell) = 1.5
! - offset from the most stable computed form (eV/atom) = 0.000

---

6.
! PBE V5Fe2Mo2W, relaxed; values from VASP
&SYSTEM
  ibrav = 0, nat = 20, ntyp = 4
/
ATOMIC_SPECIES
V 50.94 V.upf
Fe 55.84 Fe.upf
Mo 95.94 Mo.upf
W 183.84 W.upf
ATOMIC_POSITIONS crystal
V 0.000 0.500 0.000
V 0.065 0.207 0.000
V 0.207 0.935 0.000
V 0.293 0.435 0.000
V 0.435 0.707 0.000
V 0.500 0.000 0.000
V 0.565 0.293 0.000
V 0.707 0.565 0.000
V 0.793 0.065 0.000
V 0.935 0.793 0.000
Fe 0.123 0.377 0.500
Fe 0.377 0.877 0.500
Fe 0.623 0.123 0.500
Fe 0.877 0.623 0.500
Mo 0.175 0.675 0.500
Mo 0.325 0.175 0.500
Mo 0.675 0.825 0.500
Mo 0.825 0.325 0.500
W 0.000 0.000 0.500
W 0.500 0.500 0.500
CELL_PARAMETERS angstrom
9.351 0.000 0.000
0.000 9.351 0.000
0.000 0.000 3.184
! - space-group type = P4/mbm, No. 127
! - formation energy from the elements (eV/f.u.) = 1.251
! - electronic total energy (eV per atom) = -9.588
! - magnetization (μB/cell) = 0.0

---

7.
! PBE FeMoW4, relaxed; values from VASP
&SYSTEM
  ibrav = 0, nat = 6, ntyp = 3
/
ATOMIC_SPECIES
Fe 55.84 Fe.upf
Mo 95.94 Mo.upf
W 183.84 W.upf
ATOMIC_POSITIONS crystal
Fe 0.000 0.000 0.000
Mo 0.750 0.750 0.750
W 0.375 0.375 0.375
W 0.375 0.375 0.876
W 0.375 0.876 0.375
W 0.876 0.375 0.375
CELL_PARAMETERS angstrom
0.000 3.694 3.694
3.694 0.000 3.694
3.694 3.694 0.000
! - space-group type = F-43m, No. 216
! - formation energy from the elements (eV/f.u.) = 3.162
! - electronic total energy (eV per atom) = -11.324
! - magnetization (μB/cell) = 3.6

---

8.
! PBE Fe2MoW, relaxed; values from VASP
&SYSTEM
  ibrav = 0, nat = 4, ntyp = 3
/
ATOMIC_SPECIES
Fe 55.84 Fe.upf
Mo 95.94 Mo.upf
W 183.84 W.upf
ATOMIC_POSITIONS crystal
Fe 0.000 0.000 0.000
Fe 0.695 0.695 0.304
Mo 0.454 0.454 0.474
W 0.242 0.242 0.832
CELL_PARAMETERS angstrom
4.660 -1.313 0.000
4.660 1.313 0.000
-1.232 0.000 4.332
! - space-group type = Cm, No. 8
! - formation energy from the elements (eV/f.u.) = 0.756
! - electronic total energy (eV per atom) = -9.988
! - magnetization (μB/cell) = 0.0